# NaSr2Re2 (GGA-PBE, optimized geometry)
# offset from the most stable computed form = 317 meV/atom
# energy of formation from the pure elements = 1.2191 eV/atom
data_NaSr2Re2
_cell_length_a 6.0885
_cell_length_b 6.0885
_cell_length_c 8.7745
_cell_angle_alpha 90.00
_cell_angle_beta 90.00
_cell_angle_gamma 90.00
_symmetry_space_group_name_H-M 'I 4/m m m'
_symmetry_Int_Tables_number 139
_symmetry_space_group_name_Hall '-I 4 2'
loop_
_atom_site_label
_atom_site_type_symbol
_atom_site_fract_x
_atom_site_fract_y
_atom_site_fract_z
Na1 Na 0.0000 0.0000 0.0000
Sr1 Sr 0.0000 0.5000 0.2500
Re1 Re 0.0000 0.0000 0.3739



# SrLaRu3 (GGA-PBE, optimized geometry)
# offset from the most stable computed form = 503 meV/atom
# energy of formation from the pure elements = 1.6788 eV/atom
data_SrLaRu3
_cell_length_a 4.9072
_cell_length_b 4.9072
_cell_length_c 4.9072
_cell_angle_alpha 90.00
_cell_angle_beta 90.00
_cell_angle_gamma 90.00
_symmetry_space_group_name_H-M 'P m -3 m'
_symmetry_Int_Tables_number 221
_symmetry_space_group_name_Hall '-P 4 2 3'
loop_
_atom_site_label
_atom_site_type_symbol
_atom_site_fract_x
_atom_site_fract_y
_atom_site_fract_z
Sr1 Sr 0.0000 0.0000 0.0000
La1 La 0.5000 0.5000 0.5000
Ru1 Ru 0.0000 0.0000 0.5000



# La4Pm3Hg (GGA-PBE, optimized geometry)
# energy of formation from the pure elements = -0.0384 eV/atom
data_La4Pm3Hg
_cell_length_a 4.2011
_cell_length_b 4.2011
_cell_length_c 15.4052
_cell_angle_alpha 90.00
_cell_angle_beta 90.00
_cell_angle_gamma 90.00
_symmetry_space_group_name_H-M 'P 4/m m m'
_symmetry_Int_Tables_number 123
_symmetry_space_group_name_Hall '-P 4 2'
loop_
_atom_site_label
_atom_site_type_symbol
_atom_site_fract_x
_atom_site_fract_y
_atom_site_fract_z
La1 La 0.0000 0.0000 0.1107
La2 La 0.0000 0.0000 0.3817
Pm1 Pm 0.5000 0.5000 0.2522
Pm2 Pm 0.5000 0.5000 0.5000
Hg1 Hg 0.5000 0.5000 0.0000



# KCd2AgHg (GGA-PBE, optimized geometry)
# offset from the most stable computed form = 0 meV/atom
# energy of formation from the pure elements = -0.0005 eV/atom
data_KCd2AgHg
_cell_length_a 5.4184
_cell_length_b 5.4184
_cell_length_c 5.5074
_cell_angle_alpha 90.00
_cell_angle_beta 90.00
_cell_angle_gamma 90.00
_symmetry_space_group_name_H-M 'P 4/m m m'
_symmetry_Int_Tables_number 123
_symmetry_space_group_name_Hall '-P 4 2'
loop_
_atom_site_label
_atom_site_type_symbol
_atom_site_fract_x
_atom_site_fract_y
_atom_site_fract_z
K1 K 0.0000 0.0000 0.0000
Cd1 Cd 0.0000 0.5000 0.5000
Ag1 Ag 0.5000 0.5000 0.5000
Hg1 Hg 0.5000 0.5000 0.0000



# Ru2WBr (GGA-PBE, optimized geometry)
# offset from the most stable computed form = 654 meV/atom
# raw formation energy = 1.0898 eV/atom
data_Ru2WBr
_cell_length_a 3.8273
_cell_length_b 3.8273
_cell_length_c 8.5780
_cell_angle_alpha 90.00
_cell_angle_beta 90.00
_cell_angle_gamma 90.00
_symmetry_space_group_name_H-M 'I -4 m 2'
_symmetry_Int_Tables_number 119
_symmetry_space_group_name_Hall 'I -4 -2'
loop_
_atom_site_label
_atom_site_type_symbol
_atom_site_fract_x
_atom_site_fract_y
_atom_site_fract_z
Ru1 Ru 0.0000 0.0000 0.0000
Ru2 Ru 0.0000 0.5000 0.2500
W1 W 0.0000 0.5000 0.7500
Br1 Br 0.0000 0.0000 0.5000



# Ce2ErZnN (GGA-PBE, optimized geometry)
# raw formation energy = -0.6633 eV/atom
data_Ce2ErZnN
_cell_length_a 4.8466
_cell_length_b 4.8466
_cell_length_c 4.7399
_cell_angle_alpha 90.00
_cell_angle_beta 90.00
_cell_angle_gamma 90.00
_symmetry_space_group_name_H-M 'P 4/m m m'
_symmetry_Int_Tables_number 123
_symmetry_space_group_name_Hall '-P 4 2'
loop_
_atom_site_label
_atom_site_type_symbol
_atom_site_fract_x
_atom_site_fract_y
_atom_site_fract_z
Ce1 Ce 0.0000 0.5000 0.0000
Er1 Er 0.0000 0.0000 0.5000
Zn1 Zn 0.5000 0.5000 0.5000
N1 N 0.0000 0.0000 0.0000



# Be2InFe (GGA-PBE, optimized geometry)
# energy of formation from the pure elements = 0.5442 eV/atom
data_Be2InFe
_cell_length_a 3.8645
_cell_length_b 3.8645
_cell_length_c 15.6992
_cell_angle_alpha 90.00
_cell_angle_beta 90.00
_cell_angle_gamma 90.00
_symmetry_space_group_name_H-M 'I -4 2 d'
_symmetry_Int_Tables_number 122
_symmetry_space_group_name_Hall 'I -4 2bw'
loop_
_atom_site_label
_atom_site_type_symbol
_atom_site_fract_x
_atom_site_fract_y
_atom_site_fract_z
Be1 Be 0.0526 0.2500 0.1250
In1 In 0.0000 0.0000 0.5000
Fe1 Fe 0.0000 0.0000 0.0000



# CrSeBr (GGA-PBE, optimized geometry)
# raw formation energy = -0.6552 eV/atom
data_CrSeBr
_cell_length_a 3.6340
_cell_length_b 3.6340
_cell_length_c 6.9228
_cell_angle_alpha 90.00
_cell_angle_beta 90.00
_cell_angle_gamma 120.00
_symmetry_space_group_name_H-M 'P 3 m 1'
_symmetry_Int_Tables_number 156
_symmetry_space_group_name_Hall 'P 3 -2"'
loop_
_atom_site_label
_atom_site_type_symbol
_atom_site_fract_x
_atom_site_fract_y
_atom_site_fract_z
Cr1 Cr 0.0000 0.0000 0.0000
Se1 Se 0.6667 0.3333 0.1920
Br1 Br 0.3333 0.6667 0.7684



# Cd3SnOs (GGA-PBE, optimized geometry)
# offset from the most stable computed form = 0 meV/atom
# energy of formation from the pure elements = 0.7787 eV/atom
data_Cd3SnOs
_cell_length_a 5.1947
_cell_length_b 5.1947
_cell_length_c 5.1947
_cell_angle_alpha 90.00
_cell_angle_beta 90.00
_cell_angle_gamma 90.00
_symmetry_space_group_name_H-M 'P m -3 m'
_symmetry_Int_Tables_number 221
_symmetry_space_group_name_Hall '-P 4 2 3'
loop_
_atom_site_label
_atom_site_type_symbol
_atom_site_fract_x
_atom_site_fract_y
_atom_site_fract_z
Cd1 Cd 0.0000 0.0000 0.5000
Sn1 Sn 0.5000 0.5000 0.5000
Os1 Os 0.0000 0.0000 0.0000



# Cd2CoOs (GGA-PBE, optimized geometry)
# offset from the most stable computed form = 0 meV/atom
# energy of formation from the pure elements = 0.2736 eV/atom
data_Cd2CoOs
_cell_length_a 2.8241
_cell_length_b 2.8241
_cell_length_c 8.2143
_cell_angle_alpha 90.00
_cell_angle_beta 90.00
_cell_angle_gamma 90.00
_symmetry_space_group_name_H-M 'P 4 m m'
_symmetry_Int_Tables_number 99
_symmetry_space_group_name_Hall 'P 4 -2'
loop_
_atom_site_label
_atom_site_type_symbol
_atom_site_fract_x
_atom_site_fract_y
_atom_site_fract_z
Cd1 Cd 0.0000 0.0000 0.0000
Cd2 Cd 0.5000 0.5000 0.3130
Co1 Co 0.0000 0.0000 0.5548
Os1 Os 0.5000 0.5000 0.7334



# RbInAgI3 (GGA-PBE, optimized geometry)
# raw formation energy = -0.6848 eV/atom
data_RbInAgI3
_cell_length_a 10.0292
_cell_length_b 4.8571
_cell_length_c 11.9055
_cell_angle_alpha 90.00
_cell_angle_beta 107.46
_cell_angle_gamma 90.00
_symmetry_space_group_name_H-M 'P 1 21/m 1'
_symmetry_Int_Tables_number 11
_symmetry_space_group_name_Hall '-P 2yb'
loop_
_atom_site_label
_atom_site_type_symbol
_atom_site_fract_x
_atom_site_fract_y
_atom_site_fract_z
Rb1 Rb 0.2146 0.2500 0.2014
In1 In 0.4419 0.7500 0.9104
Ag1 Ag 0.1600 0.2500 0.5471
I1 I 0.1104 0.7500 0.4032
I2 I 0.1640 0.7500 0.9559
I3 I 0.4241 0.2500 0.7165



# BiSb2F (GGA-PBE, optimized geometry)
# offset from the most stable computed form = 0 meV/atom
# raw formation energy = -0.4077 eV/atom
data_BiSb2F
_cell_length_a 5.2294
_cell_length_b 5.2294
_cell_length_c 16.9311
_cell_angle_alpha 90.00
_cell_angle_beta 90.00
_cell_angle_gamma 90.00
_symmetry_space_group_name_H-M 'I -4 2 d'
_symmetry_Int_Tables_number 122
_symmetry_space_group_name_Hall 'I -4 2bw'
loop_
_atom_site_label
_atom_site_type_symbol
_atom_site_fract_x
_atom_site_fract_y
_atom_site_fract_z
Bi1 Bi 0.0000 0.0000 0.0000
Sb1 Sb 0.1466 0.2500 0.6250
F1 F 0.0000 0.0000 0.5000



| no. | calculated density (kg/m3) |
| --- | --- |
| 1 | 5827 |
| 2 | 7444 |
| 3 | 7275 |
| 4 | 5878 |
| 5 | 12313 |
| 6 | 7859 |
| 7 | 5346 |
| 8 | 4422 |
| 9 | 7654 |
| 10 | 12013 |
| 11 | 4135 |
| 12 | 6764 |